5
Lattice="4.912 0.000 0.000 0.000 2.172 6.592 0.000 -2.172 6.592" Properties=species:S:1:pos:R:3 comment="Ba2ZnSi2 PBE relaxed" raw_formation_energy_ev_per_atom=-0.186 vol_a3_per_cell=140.7 relative_energy_mev_per_atom=147.8 density_g_cm3=4.7 pbc="T T T"
Ba 0.000 0.000 0.000
Ba 0.000 0.000 3.235
Zn 2.456 0.000 5.594
Si 2.456 0.000 8.298
Si 2.456 0.000 10.767

16
Lattice="2.477 -8.476 0.000 2.477 8.476 0.000 0.000 0.000 9.154" Properties=species:S:1:pos:R:3 comment="Ba2Zn5Si PBE relaxed" raw_formation_energy_ev_per_atom=-0.203 vol_a3_per_cell=384.3 density_g_cm3=5.4 pbc="T T T"
Ba 0.000 0.000 0.000
Ba 0.000 0.000 4.577
Ba 2.477 4.896 6.865
Ba 2.477 -4.896 2.288
Zn 2.477 5.318 0.984
Zn 2.477 5.318 3.593
Zn 2.477 2.500 0.176
Zn 2.477 2.500 4.400
Zn 2.477 1.435 6.865
Zn 2.477 -1.435 2.288
Zn 2.477 -2.500 4.753
Zn 2.477 -2.500 8.977
Zn 2.477 -5.318 5.560
Zn 2.477 -5.318 8.170
Si 2.477 1.087 2.288
Si 2.477 -1.087 6.865

10
Lattice="8.493 0.000 0.000 0.000 8.493 0.000 0.000 0.000 4.505" Properties=species:S:1:pos:R:3 comment="Ba2ZnSi2 PBE relaxed" raw_formation_energy_ev_per_atom=-0.155 vol_a3_per_cell=324.9 relative_energy_mev_per_atom=179.5 density_g_cm3=4.0 pbc="T T T"
Ba 1.659 2.587 0.000
Ba 2.587 6.834 0.000
Ba 5.906 1.659 0.000
Ba 6.834 5.906 0.000
Zn 0.000 0.000 2.252
Zn 4.247 4.247 2.252
Si 0.798 5.044 2.252
Si 3.449 0.798 2.252
Si 5.044 7.695 2.252
Si 7.695 3.449 2.252

9
Lattice="6.236 -2.145 0.000 6.236 2.145 0.000 -0.267 0.000 8.944" Properties=species:S:1:pos:R:3 comment="Ba3Zn2Si4 PBE relaxed" raw_formation_energy_ev_per_atom=-0.401 vol_a3_per_cell=239.3 density_g_cm3=4.5 pbc="T T T"
Ba 0.000 0.000 0.000
Ba 4.121 0.000 2.944
Ba 8.085 0.000 5.999
Zn 4.648 0.000 6.406
Zn 7.558 0.000 2.538
Si 0.605 0.000 3.507
Si 3.242 0.000 8.448
Si 8.964 0.000 0.496
Si 11.601 0.000 5.436